Arrangement w

First-principles (GGA-PBE) data for a relaxed structure of LuZrH, as listed in Alexandria.

a = 3.3138 Å, b = 3.3138 Å, c = 5.8966 Å
α = 73.68°, β = 73.68°, γ = 60.00°
Fractional positions:
Zr (0.5252, 0.5252, 0.4244)
H (0.1185, 0.1185, 0.6446)
Lu (0.3417, 0.3417, 0.9749)

Properties
D(E_F) = 0.489 states/eV per atom
Size of the total moment = 0.0 μB per formula unit


Arrangement x

First-principles (GGA-PBE) data for a relaxed structure of LuZrH, as listed in Alexandria.

a = 3.3818 Å, b = 3.3818 Å, c = 5.2944 Å
α = 90.00°, β = 90.00°, γ = 120.00°
Fractional positions:
H (0.3333, 0.6667, 0.6463)
Zr (0.6667, 0.3333, 0.4250)
Lu (0.0000, 0.0000, 0.9287)

Properties
D(E_F) = 0.400 states/eV per atom
Size of the total moment = 0.0 μB per formula unit


The calculated energies rank the structures as follows, beginning with the most stable: arrangement x, arrangement w.


Arrangement w

First-principles (GGA-PBE) data for a relaxed structure of Mg2MnH, as listed in Alexandria.

a = 5.9881 Å, b = 5.9881 Å, c = 5.5704 Å
α = 57.49°, β = 57.49°, γ = 90.00°
Fractional positions:
Mg (0.3750, 0.4961, 0.7500)
H (0.2500, 0.7500, 0.5000)
Mg (0.8750, 0.7539, 0.7500)
Mn (0.7500, 0.2500, 0.5000)
Mg (0.2461, 0.6250, 0.2500)
Mg (0.5039, 0.1250, 0.2500)
Mn (0.0000, 0.0000, 0.0000)
H (0.5000, 0.5000, 0.0000)

Properties
D(E_F) = 0.585 states/eV per atom
Size of the total moment = 3.9 μB per formula unit


Arrangement x

First-principles (GGA-PBE) data for a relaxed structure of Mg2MnH, as listed in Alexandria.

a = 4.5669 Å, b = 4.5669 Å, c = 4.5669 Å
α = 60.00°, β = 60.00°, γ = 60.00°
Fractional positions:
Mn (0.5000, 0.5000, 0.5000)
Mg (0.7500, 0.7500, 0.7500)
Mg (0.2500, 0.2500, 0.2500)
H (0.0000, 0.0000, 0.0000)

Properties
D(E_F) = 0.575 states/eV per atom
Size of the total moment = 3.8 μB per formula unit


The calculated energies rank the structures as follows, beginning with the most stable: arrangement w, arrangement x.


Arrangement w

First-principles (GGA-PBE) data for a relaxed structure of MgMn3H, as listed in Alexandria.

a = 3.9373 Å, b = 3.9373 Å, c = 3.9373 Å
α = 90.00°, β = 90.00°, γ = 90.00°
Fractional positions:
Mn (0.5000, 0.0000, 0.0000)
Mn (0.0000, 0.0000, 0.5000)
Mg (0.5000, 0.5000, 0.5000)
Mn (0.0000, 0.5000, 0.0000)
H (0.0000, 0.0000, 0.0000)

Properties
D(E_F) = 0.507 states/eV per atom
Size of the total moment = 9.6 μB per formula unit


Arrangement x

First-principles (GGA-PBE) data for a relaxed structure of MgMn3H, as listed in Alexandria.

a = 5.0509 Å, b = 5.0509 Å, c = 5.0509 Å
α = 90.00°, β = 90.00°, γ = 90.00°
Fractional positions:
Mg (0.0000, 0.0000, 0.0000)
Mn (0.0000, 0.0000, 0.5000)
H (0.5000, 0.5000, 0.5000)
Mn (0.5000, 0.0000, 0.0000)
Mn (0.0000, 0.5000, 0.0000)

Properties
D(E_F) = 0.594 states/eV per atom
Size of the total moment = 13.6 μB per formula unit


The calculated energies rank the structures as follows, beginning with the most stable: arrangement w, arrangement x.